Record 1
A plane-wave DFT calculation with meta-GGA SCAN was carried out for a crystal of InH5N2F2 relaxed with PBEsol.

Computed properties:
The total magnetic moment comes out at 0.0 μB/cell. Its density of states at the Fermi level is 0.0 states/eV per cell. Its crystal system is monoclinic. As for the total energy: -8.6948 eV per atom.

Cell lengths 7.712, 5.307, 10.917 Å; angles 90.00, 128.01, 90.00 degrees
Fractional positions:
In (0.217, 0.076, 0.355)
In (0.217, 0.424, 0.855)
In (0.783, 0.576, 0.145)
In (0.783, 0.924, 0.645)
H (0.063, 0.719, 0.604)
H (0.063, 0.781, 0.104)
H (0.114, 0.504, 0.434)
H (0.114, 0.996, 0.934)
H (0.290, 0.140, 0.668)
H (0.290, 0.360, 0.168)
H (0.399, 0.505, 0.335)
H (0.399, 0.995, 0.835)
H (0.475, 0.746, 0.665)
H (0.475, 0.754, 0.165)
H (0.525, 0.246, 0.835)
H (0.525, 0.254, 0.335)
H (0.601, 0.005, 0.165)
H (0.601, 0.495, 0.665)
H (0.710, 0.640, 0.832)
H (0.710, 0.860, 0.332)
H (0.886, 0.004, 0.066)
H (0.886, 0.496, 0.566)
H (0.937, 0.219, 0.896)
H (0.937, 0.281, 0.396)
N (0.016, 0.139, 0.856)
N (0.016, 0.361, 0.356)
N (0.370, 0.171, 0.784)
N (0.370, 0.329, 0.284)
N (0.630, 0.671, 0.716)
N (0.630, 0.829, 0.216)
N (0.984, 0.639, 0.644)
N (0.984, 0.861, 0.144)
F (0.190, 0.658, 0.004)
F (0.190, 0.842, 0.504)
F (0.477, 0.693, 0.914)
F (0.477, 0.807, 0.414)
F (0.523, 0.193, 0.586)
F (0.523, 0.307, 0.086)
F (0.810, 0.158, 0.496)
F (0.810, 0.342, 0.996)


Record 2
A plane-wave DFT calculation with meta-GGA SCAN was carried out for a crystal of NaInH8N2F6 relaxed with PBEsol.

Computed properties:
The total magnetic moment comes out at 0.0 μB/cell. Its density of states at the Fermi level is 0.0 states/eV per cell. Its crystal system is cubic. As for the total energy: -7.4110 eV per atom.

Cell lengths 6.058, 6.058, 6.058 Å; angles 60.00, 60.00, 60.00 degrees
Fractional positions:
Na (0.000, 0.000, 0.000)
In (0.500, 0.500, 0.500)
H (0.180, 0.180, 0.180)
H (0.180, 0.180, 0.459)
H (0.180, 0.459, 0.180)
H (0.459, 0.180, 0.180)
H (0.541, 0.820, 0.820)
H (0.820, 0.541, 0.820)
H (0.820, 0.820, 0.541)
H (0.820, 0.820, 0.820)
N (0.250, 0.250, 0.250)
N (0.750, 0.750, 0.750)
F (0.256, 0.256, 0.744)
F (0.256, 0.744, 0.256)
F (0.256, 0.744, 0.744)
F (0.744, 0.256, 0.256)
F (0.744, 0.256, 0.744)
F (0.744, 0.744, 0.256)


Record 3
A plane-wave DFT calculation with meta-GGA SCAN was carried out for a crystal of InHO2F relaxed with PBEsol.

Computed properties:
The total magnetic moment comes out at 3.5 μB/cell. Its density of states at the Fermi level is 2.3 states/eV per cell. Its crystal system is tetragonal. As for the total energy: -9.8624 eV per atom.

Cell lengths 4.272, 4.272, 3.993 Å; angles 90.00, 90.00, 90.00 degrees
Fractional positions:
In (0.000, 0.000, 0.000)
H (0.500, 0.500, 0.000)
O (0.000, 0.500, 0.500)
O (0.500, 0.000, 0.500)
F (0.000, 0.000, 0.500)


Record 4
A plane-wave DFT calculation with meta-GGA SCAN was carried out for a crystal of HIrF2 relaxed with PBEsol.

Computed properties:
The total magnetic moment comes out at 1.1 μB/cell. Its density of states at the Fermi level is 5.1 states/eV per cell. Its crystal system is trigonal. As for the total energy: -20.9291 eV per atom.

Cell lengths 2.657, 2.657, 19.083 Å; angles 90.00, 90.00, 120.00 degrees
Fractional positions:
H (0.000, 0.000, 0.000)
H (0.333, 0.667, 0.667)
H (0.667, 0.333, 0.333)
Ir (0.000, 0.000, 0.500)
Ir (0.333, 0.667, 0.167)
Ir (0.667, 0.333, 0.833)
F (0.000, 0.000, 0.060)
F (0.000, 0.000, 0.940)
F (0.333, 0.667, 0.607)
F (0.333, 0.667, 0.727)
F (0.667, 0.333, 0.273)
F (0.667, 0.333, 0.393)


Record 5
A plane-wave DFT calculation with meta-GGA SCAN was carried out for a crystal of HIrNF2 relaxed with PBEsol.

Computed properties:
The total magnetic moment comes out at 1.4 μB/cell. Its density of states at the Fermi level is 2.5 states/eV per cell. Its crystal system is tetragonal. As for the total energy: -17.7813 eV per atom.

Cell lengths 2.886, 2.886, 5.921 Å; angles 90.00, 90.00, 90.00 degrees
Fractional positions:
H (0.000, 0.000, 0.000)
Ir (0.500, 0.500, 0.500)
N (0.000, 0.000, 0.500)
F (0.000, 0.500, 0.000)
F (0.500, 0.000, 0.000)


Record 6
A plane-wave DFT calculation with meta-GGA SCAN was carried out for a crystal of K2HF relaxed with PBEsol.

Computed properties:
The total magnetic moment comes out at 0.0 μB/cell. Its density of states at the Fermi level is 0.0 states/eV per cell. Its crystal system is tetragonal. As for the total energy: -7.4038 eV per atom.

Cell lengths 5.991, 5.991, 11.867 Å; angles 90.00, 90.00, 90.00 degrees
Fractional positions:
K (0.234, 0.250, 0.125)
K (0.250, 0.734, 0.375)
K (0.250, 0.766, 0.875)
K (0.266, 0.250, 0.625)
K (0.734, 0.750, 0.625)
K (0.750, 0.234, 0.875)
K (0.750, 0.266, 0.375)
K (0.766, 0.750, 0.125)
H (0.000, 0.000, 0.500)
H (0.000, 0.500, 0.750)
H (0.500, 0.000, 0.250)
H (0.500, 0.500, 0.000)
F (0.000, 0.000, 0.000)
F (0.000, 0.500, 0.250)
F (0.500, 0.000, 0.750)
F (0.500, 0.500, 0.500)


Record 7
A plane-wave DFT calculation with meta-GGA SCAN was carried out for a crystal of K2HF relaxed with PBEsol.

Computed properties:
The total magnetic moment comes out at 0.2 μB/cell. Its density of states at the Fermi level is 0.0 states/eV per cell. Its crystal system is cubic. As for the total energy: -7.4439 eV per atom.

Cell lengths 6.482, 6.482, 6.482 Å; angles 90.00, 90.00, 90.00 degrees
Fractional positions:
K (0.250, 0.250, 0.250)
K (0.250, 0.250, 0.750)
K (0.250, 0.750, 0.250)
K (0.250, 0.750, 0.750)
K (0.750, 0.250, 0.250)
K (0.750, 0.250, 0.750)
K (0.750, 0.750, 0.250)
K (0.750, 0.750, 0.750)
H (0.000, 0.000, 0.000)
H (0.000, 0.500, 0.500)
H (0.500, 0.000, 0.500)
H (0.500, 0.500, 0.000)
F (0.000, 0.000, 0.500)
F (0.000, 0.500, 0.000)
F (0.500, 0.000, 0.000)
F (0.500, 0.500, 0.500)


Record 8
A plane-wave DFT calculation with meta-GGA SCAN was carried out for a crystal of KHF3 relaxed with PBEsol.

Computed properties:
The total magnetic moment comes out at 1.0 μB/cell. Its density of states at the Fermi level is 5.8 states/eV per cell. Its crystal system is cubic. As for the total energy: -5.6544 eV per atom.

Cell lengths 3.699, 3.699, 3.699 Å; angles 90.00, 90.00, 90.00 degrees
Fractional positions:
K (0.000, 0.000, 0.000)
H (0.500, 0.500, 0.500)
F (0.000, 0.500, 0.500)
F (0.500, 0.000, 0.500)
F (0.500, 0.500, 0.000)